Here is LaTc3P at its PBEsol-relaxed geometry from the Alexandria database. Energies are from meta-GGA SCAN.

Cell lengths 4.4806, 4.4806, 4.4806 Å; angles 90.00, 90.00, 90.00 degrees
Space group Pm-3m (No. 221)
One atom of each set of equivalent atoms:
La1 0.0000 0.0000 0.0000
Tc1 0.0000 0.5000 0.5000
P1 0.5000 0.5000 0.5000

Computed properties:
DFT formation energy = 0.2 eV/f.u.
size of the total moment = 0.3930 μB per atom